Record 1
Here is an optimized crystal structure of Ru2Rh from the Alexandria database. Energies are from PBEsol.

VASP energy = -113.167 eV/cell
calculated density = 12.6 Mg/m³
ΔH_f (0 K) = 0.064 eV/atom
ΔE to the lowest computed polymorph = 62 meV/atom

Cell and atoms, written as extended XYZ:
```
12
Lattice="3.7685 0.0000 0.0000 0.0000 3.7685 0.0000 -1.8842 -1.8842 11.2827" Properties=species:S:1:pos:R:3 pbc="T T T"
Ru 1.8842 0.0000 3.7678
Rh 0.0000 1.8842 3.7856
Ru 1.8842 0.0000 7.5149
Ru 0.0000 1.8842 0.0218
Ru 1.8842 1.8842 5.6631
Rh 0.0000 1.8842 7.4971
Ru 0.0000 1.8842 11.2609
Ru 0.0000 0.0000 5.6196
Rh 1.8842 1.8842 9.4269
Rh 0.0000 0.0000 1.8558
Ru 1.8842 1.8842 1.8735
Ru 0.0000 0.0000 9.4092
```

---

Record 2
Here is an optimized crystal structure of RuRh2 from the Alexandria database. Energies are from PBEsol.

VASP energy = -26.437 eV/cell
calculated density = 12.7 Mg/m³
ΔH_f (0 K) = 0.004 eV/atom
ΔE to the lowest computed polymorph = 0 meV/atom

Cell and atoms, written as extended XYZ:
```
3
Lattice="-1.9865 1.4530 -1.0215 -1.7538 -1.8472 0.7830 1.2725 2.8667 5.0788" Properties=species:S:1:pos:R:3 pbc="T T T"
Ru 0.0000 0.0000 0.0000
Rh -0.4028 1.7992 3.3425
Rh -2.0650 0.6733 1.4977
```

---

Record 3
Here is an optimized crystal structure of Ru2Rh from the Alexandria database. Energies are from PBEsol.

VASP energy = -28.303 eV/cell
calculated density = 12.6 Mg/m³
ΔH_f (0 K) = 0.060 eV/atom
ΔE to the lowest computed polymorph = 58 meV/atom

Cell and atoms, written as extended XYZ:
```
3
Lattice="-0.0320 1.0940 2.4243 2.6763 -2.3994 1.1180 1.4912 3.2599 -2.9105" Properties=species:S:1:pos:R:3 pbc="T T T"
Ru 1.8587 1.7225 -0.7528
Ru 2.2769 0.2320 1.3845
Rh 0.0000 0.0000 0.0000
```

---

Record 4
Here is an optimized crystal structure of RuRh2 from the Alexandria database. Energies are from PBEsol.

VASP energy = -26.396 eV/cell
calculated density = 12.7 Mg/m³
ΔH_f (0 K) = 0.018 eV/atom
ΔE to the lowest computed polymorph = 14 meV/atom

Cell and atoms, written as extended XYZ:
```
3
Lattice="-0.1359 1.5124 -2.1858 -2.2038 -1.1283 0.9767 -1.0539 5.2740 3.7147" Properties=species:S:1:pos:R:3 pbc="T T T"
Ru 0.0000 0.0000 0.0000
Rh -2.2221 3.2928 2.4165
Rh -1.1715 2.3653 0.0890
```

---

Record 5
Here is an optimized crystal structure of Ru2Rh from the Alexandria database. Energies are from PBEsol.

VASP energy = -28.338 eV/cell
calculated density = 12.6 Mg/m³
ΔH_f (0 K) = 0.049 eV/atom
ΔE to the lowest computed polymorph = 46 meV/atom

Cell and atoms, written as extended XYZ:
```
3
Lattice="-0.5050 -0.7332 2.5125 -1.9263 -1.6281 -0.8623 4.9772 -3.0208 -1.2952" Properties=species:S:1:pos:R:3 pbc="T T T"
Ru 1.2757 -1.4250 -0.1594
Rh -1.2157 -1.1807 0.8251
Ru 1.2701 -3.9572 0.5144
```

---

Record 6
Here is an optimized crystal structure of RuRh3 from the Alexandria database. Energies are from PBEsol.

VASP energy = -32.770 eV/cell
calculated density = 12.3 Mg/m³
ΔH_f (0 K) = 0.454 eV/atom

Cell and atoms, written as extended XYZ:
```
4
Lattice="-3.3435 -2.2696 1.4062 -0.7191 -3.9272 -1.5387 0.6322 -3.4220 2.4895" Properties=species:S:1:pos:R:3 pbc="T T T"
Ru -1.7152 -4.8094 1.1785
Rh -0.8576 -2.4047 0.5892
Rh -2.5727 -7.2142 1.7677
Rh 0.0000 0.0000 0.0000
```

---

Record 7
Here is an optimized crystal structure of RuRh3 from the Alexandria database. Energies are from PBEsol.

VASP energy = -34.541 eV/cell
calculated density = 12.7 Mg/m³
ΔH_f (0 K) = 0.012 eV/atom

Cell and atoms, written as extended XYZ:
```
4
Lattice="-0.7030 -0.5283 2.5150 -0.0825 -2.6014 -0.5695 7.2888 -0.6474 1.9014" Properties=species:S:1:pos:R:3 pbc="T T T"
Rh 5.4413 -0.4833 1.4195
Ru 3.2516 -1.8885 1.9235
Rh 1.8475 -0.1641 0.4820
Rh -0.3927 -1.5649 0.9727
```

---

Record 8
Here is an optimized crystal structure of RuRh2 from the Alexandria database. Energies are from PBEsol.

VASP energy = -105.578 eV/cell
calculated density = 12.7 Mg/m³
ΔH_f (0 K) = 0.018 eV/atom
ΔE to the lowest computed polymorph = 14 meV/atom

Cell and atoms, written as extended XYZ:
```
12
Lattice="-1.8831 -0.7089 3.1713 -3.3247 -3.1941 -2.6882 4.8187 -6.2482 1.4646" Properties=species:S:1:pos:R:3 pbc="T T T"
Rh -2.3155 -5.9245 0.6366
Rh 0.9369 -6.3897 2.4639
Rh -0.6871 -8.0365 1.1314
Rh -2.2529 -2.2530 1.4945
Rh 0.2980 -2.1148 0.8162
Rh -1.3260 -3.7616 -0.5163
Rh 1.8638 -7.8983 0.4531
Rh 1.9264 -4.2268 1.3110
Ru 3.5678 -6.3207 1.8176
Ru 0.2530 -5.7750 -0.0288
Ru -0.6421 -4.3763 1.9764
Ru -3.9569 -3.8306 0.1300
```

---

Record 9
Here is an optimized crystal structure of Ru4Rh5 from the Alexandria database. Energies are from PBEsol.

VASP energy = -81.243 eV/cell
calculated density = 12.7 Mg/m³
ΔH_f (0 K) = 0.015 eV/atom

Cell and atoms, written as extended XYZ:
```
9
Lattice="3.7678 0.0000 0.0000 1.8839 5.6559 0.0000 1.8839 0.0000 5.6559" Properties=species:S:1:pos:R:3 pbc="T T T"
Rh 3.7678 0.0000 3.7532
Ru 3.7678 3.7373 3.7373
Rh 1.8839 1.9027 0.0000
Rh 1.8839 0.0000 1.9027
Ru 1.8839 1.9186 3.7373
Rh 3.7678 3.7532 0.0000
Ru 1.8839 3.7373 1.9186
Ru 3.7678 1.9186 1.9186
Rh 0.0000 0.0000 0.0000
```

---

Record 10
Here is an optimized crystal structure of RuRh2 from the Alexandria database. Energies are from PBEsol.

VASP energy = -52.801 eV/cell
calculated density = 12.7 Mg/m³
ΔH_f (0 K) = 0.016 eV/atom
ΔE to the lowest computed polymorph = 12 meV/atom

Cell and atoms, written as extended XYZ:
```
6
Lattice="-1.7650 0.5351 -1.9499 3.0774 -0.5336 -2.9319 -0.7049 -7.0657 0.5461" Properties=species:S:1:pos:R:3 pbc="T T T"
Rh 0.7147 -3.1771 -3.3660
Ru -0.4684 -1.3872 -1.8039
Rh -1.5294 -5.9313 -2.0906
Rh 2.1370 -1.1329 -2.2452
Ru 1.0759 -5.6771 -2.5318
Rh -0.1071 -3.8871 -0.9698
```

---

Record 11
Here is an optimized crystal structure of RuRh3 from the Alexandria database. Energies are from PBEsol.

VASP energy = -34.508 eV/cell
calculated density = 12.7 Mg/m³
ΔH_f (0 K) = 0.020 eV/atom

Cell and atoms, written as extended XYZ:
```
4
Lattice="2.6618 0.0000 0.0000 0.0000 4.6177 0.0024 -1.3309 -0.7618 4.3628" Properties=species:S:1:pos:R:3 pbc="T T T"
Rh 1.3309 3.0703 2.1693
Rh 0.0000 0.7856 2.1958
Ru 0.0000 2.3088 0.0012
Rh 1.3309 0.0000 0.0000
```

---

Record 12
Here is an optimized crystal structure of RuRh3 from the Alexandria database. Energies are from PBEsol.

VASP energy = -34.452 eV/cell
calculated density = 12.7 Mg/m³
ΔH_f (0 K) = 0.034 eV/atom

Cell and atoms, written as extended XYZ:
```
4
Lattice="-1.6686 -1.9405 2.7694 1.7439 -3.1397 -1.1493 2.8973 0.7722 2.2867" Properties=species:S:1:pos:R:3 pbc="T T T"
Rh 1.4486 0.3861 1.1434
Rh 0.8719 -1.5698 -0.5746
Rh -0.8343 -0.9703 1.3847
Ru 1.4863 -2.1540 1.9534
```

---

Record 13
Here is an optimized crystal structure of RuRh2 from the Alexandria database. Energies are from PBEsol.

VASP energy = -52.760 eV/cell
calculated density = 12.7 Mg/m³
ΔH_f (0 K) = 0.023 eV/atom
ΔE to the lowest computed polymorph = 19 meV/atom

Cell and atoms, written as extended XYZ:
```
6
Lattice="2.6865 0.0000 0.0000 -1.3433 4.8826 0.0052 0.0000 -1.5516 6.1325" Properties=species:S:1:pos:R:3 pbc="T T T"
Rh 1.3433 1.0932 2.0558
Ru 1.3433 0.6873 5.7697
Rh 0.0000 3.3627 1.6992
Ru 0.0000 -0.3848 3.7770
Rh 0.0000 -1.5385 6.1259
Rh 0.0000 2.2251 4.0925
```

---

Record 14
Here is an optimized crystal structure of RuRh3 from the Alexandria database. Energies are from PBEsol.

VASP energy = -68.847 eV/cell
calculated density = 12.7 Mg/m³
ΔH_f (0 K) = 0.041 eV/atom

Cell and atoms, written as extended XYZ:
```
8
Lattice="4.2922 0.0000 0.0000 0.0000 5.3768 0.0000 0.0000 -2.6884 4.6565" Properties=species:S:1:pos:R:3 pbc="T T T"
Rh 1.0731 4.0263 0.7797
Rh 1.0731 2.6884 3.0970
Rh 3.2192 0.0000 1.5595
Rh 3.2192 1.3379 3.8767
Ru 1.0731 0.0000 3.1043
Rh 1.0731 1.3506 0.7797
Ru 3.2192 2.6884 1.5522
Rh 3.2192 -1.3379 3.8767
```

---

Record 15
Here is an optimized crystal structure of Ru2Rh from the Alexandria database. Energies are from PBEsol.

VASP energy = -113.241 eV/cell
calculated density = 12.6 Mg/m³
ΔH_f (0 K) = 0.058 eV/atom
ΔE to the lowest computed polymorph = 55 meV/atom

Cell and atoms, written as extended XYZ:
```
12
Lattice="-1.7893 -2.5247 2.1354 4.1937 -3.2642 -0.3453 3.1378 3.3360 6.5733" Properties=species:S:1:pos:R:3 pbc="T T T"
Rh 1.5245 -1.7356 4.1901
Ru 1.8797 0.9205 4.3183
Rh 4.0177 -0.7173 4.1733
Ru 2.6036 -0.5990 6.4381
Ru 5.0309 0.4093 6.3542
Rh 2.5956 -4.4583 1.8686
Ru 2.9387 -1.8539 1.9253
Ru 3.6625 -3.3735 4.0451
Ru 0.8764 -0.1851 2.1704
Ru 4.6659 -2.2679 6.1930
Rh 2.9466 2.0053 6.4948
Ru 0.5114 -2.8622 2.0092
```

---

Record 16
Here is an optimized crystal structure of RuRh4 from the Alexandria database. Energies are from PBEsol.

VASP energy = -42.667 eV/cell
calculated density = 12.7 Mg/m³
ΔH_f (0 K) = 0.012 eV/atom
ΔE to the lowest computed polymorph = 0 meV/atom

Cell and atoms, written as extended XYZ:
```
5
Lattice="2.6667 0.0000 0.0000 1.3333 2.3094 0.0000 1.3333 0.7698 10.9009" Properties=species:S:1:pos:R:3 pbc="T T T"
Rh 4.0000 2.3094 6.5367
Rh 2.6667 1.5396 2.1503
Rh 1.3333 0.7698 4.3642
Ru 0.0000 0.0000 0.0000
Rh 2.6667 1.5396 8.7506
```

---

Record 17
Here is an optimized crystal structure of RuRh3 from the Alexandria database. Energies are from PBEsol.

VASP energy = -34.443 eV/cell
calculated density = 12.7 Mg/m³
ΔH_f (0 K) = 0.036 eV/atom

Cell and atoms, written as extended XYZ:
```
4
Lattice="-1.8773 -1.8915 -0.2758 2.8778 -2.5838 -1.8687 1.1412 -1.7397 4.1627" Properties=species:S:1:pos:R:3 pbc="T T T"
Rh -0.3671 -1.8171 1.9471
Rh 1.4492 -3.6842 2.3893
Rh 0.0025 -0.0037 0.0090
Ru 1.8179 -1.8696 0.4481
```

---

Record 18
Here is an optimized crystal structure of RuRh2 from the Alexandria database. Energies are from PBEsol.

VASP energy = -26.420 eV/cell
calculated density = 12.7 Mg/m³
ΔH_f (0 K) = 0.010 eV/atom
ΔE to the lowest computed polymorph = 6 meV/atom

Cell and atoms, written as extended XYZ:
```
3
Lattice="2.6644 0.0000 0.0000 0.0000 3.7671 0.0000 -1.3322 -1.8836 4.0018" Properties=species:S:1:pos:R:3 pbc="T T T"
Rh 0.0000 0.0000 2.6862
Rh 1.3322 1.8836 1.3156
Ru 0.0000 0.0000 0.0000
```

---

Record 19
Here is an optimized crystal structure of RuRh3 from the Alexandria database. Energies are from PBEsol.

VASP energy = -34.509 eV/cell
calculated density = 12.7 Mg/m³
ΔH_f (0 K) = 0.020 eV/atom

Cell and atoms, written as extended XYZ:
```
4
Lattice="-0.5975 -1.4381 -2.1902 1.3807 -1.1265 2.0118 -7.3687 -2.5045 3.6547" Properties=species:S:1:pos:R:3 pbc="T T T"
Rh 0.0000 0.0000 0.0000
Rh -4.7695 -3.0966 3.3344
Rh -1.1567 -1.8687 1.5425
Ru -3.6843 -1.2522 1.8274
```

---

Record 20
Here is an optimized crystal structure of RuRhS4 from the Alexandria database. Energies are from PBEsol.

raw formation energy = -3.58 eV/f.u.
VASP energy = -78.855 eV/cell
calculated density = 6.3 Mg/m³

Cell and atoms, written as extended XYZ:
```
12
Lattice="5.6008 0.0000 0.0001 0.0000 5.6084 0.0000 -0.0056 0.0000 5.6088" Properties=species:S:1:pos:R:3 pbc="T T T"
S 3.4755 4.9587 4.9623
S 0.6293 4.9401 3.4730
Rh 2.8004 2.8042 0.0001
S 2.1197 0.6497 0.6467
Rh 2.7976 0.0000 2.8045
S 4.9631 2.1359 4.9403
S 2.1169 2.1545 3.4511
Ru -0.0028 2.8042 2.8044
S 4.9659 0.6683 2.1359
S 3.4782 3.4539 2.1579
S 0.6321 3.4725 0.6686
Ru 0.0000 0.0000 0.0000
```